# 1
Computed, not measured: an optimized crystal structure of Ac8La3Nd2 at the PBE-GGA level of DFT.

The formation energy is 198 meV/atom. Its crystal system is monoclinic. Its density is 7.45 g/cm3. As for the density of states at the Fermi level: 40.05 states/eV per cell.

The structure belongs to space group C2/m (No. 12); the cell edges are 21.603, 8.364 and 6.217 Å and the angles 90.00°, 90.02° and 90.00°. The asymmetric unit holds Ac at (0.106, 0.212, 0.000), Ac at (0.134, 0.500, 0.500), Ac at (0.175, 0.000, 0.501), La at (0.000, 0.204, 0.500), La at (0.000, 0.500, 0.000) and Nd at (0.242, 0.500, 0.999).

=====

# 2
Computed, not measured: an optimized crystal structure of DyYTmAl at the PBE-GGA level of DFT.

The formation energy is -71 meV/atom. The polymorph energy (0 for the lowest one) comes out at 0.50 eV per formula unit. Its crystal system is cubic. Its density is 6.94 g/cm3. As for the density of states at the Fermi level: 23.35 states/eV per cell.

The structure belongs to space group F-43m (No. 216); the cell edges are 7.537, 7.537 and 7.537 Å and the angles 90.00°, 90.00° and 90.00°. The asymmetric unit holds Dy at (0.000, 0.000, 0.000), Y at (0.000, 0.000, 0.500), Tm at (0.250, 0.250, 0.750) and Al at (0.250, 0.250, 0.250).

=====

# 3
Computed, not measured: an optimized crystal structure of BiOs2Au at the PBE-GGA level of DFT.

The formation energy is 1032 meV/atom. The polymorph energy (0 for the lowest one) comes out at 0.48 eV per formula unit. Its crystal system is cubic. Its density is 18.53 g/cm3. As for the density of states at the Fermi level: 21.01 states/eV per cell.

The structure belongs to space group Fm-3m (No. 225); the cell edges are 6.557, 6.557 and 6.557 Å and the angles 90.00°, 90.00° and 90.00°. The asymmetric unit holds Bi at (0.000, 0.000, 0.000), Os at (0.250, 0.250, 0.250) and Au at (0.000, 0.000, 0.500).

=====

# 4
Computed, not measured: an optimized crystal structure of Tl12Hg2Bi5 at the PBE-GGA level of DFT.

The formation energy is 43 meV/atom. Its crystal system is monoclinic. Its density is 9.46 g/cm3. As for the density of states at the Fermi level: 15.93 states/eV per cell.

The structure belongs to space group C2/m (No. 12); the cell edges are 18.563, 6.968 and 10.906 Å and the angles 90.00°, 103.99° and 90.00°. The asymmetric unit holds Tl at (0.009, 0.000, 0.353), Tl at (0.075, 0.500, 0.811), Tl at (0.162, 0.255, 0.583), Tl at (0.183, 0.268, 0.102), Hg at (0.000, 0.220, 0.000), Bi at (0.000, 0.500, 0.500), Bi at (0.153, 0.000, 0.842) and Bi at (0.182, 0.000, 0.344).

=====

# 5
Computed, not measured: an optimized crystal structure of Li2Tb3ErS6 at the PBE-GGA level of DFT.

Its crystal system is monoclinic. Its density is 5.73 g/cm3. For the energy relative to the elements, uncorrected, the calculation gives -1.908 eV/atom. As for the density of states at the Fermi level: 4.98 states/eV per cell.

The structure belongs to space group C2/m (No. 12); the cell edges are 6.715, 11.628 and 6.696 Å and the angles 90.00°, 109.50° and 90.00°. The asymmetric unit holds Li at (0.000, 0.167, 0.000), Tb at (0.000, 0.000, 0.500), Tb at (0.000, 0.332, 0.500), Er at (0.000, 0.500, 0.000), S at (0.246, 0.000, 0.243) and S at (0.248, 0.332, 0.241).

=====

# 6
Computed, not measured: an optimized crystal structure of La5Pr6Tl at the PBE-GGA level of DFT.

The formation energy is -45 meV/atom. Its crystal system is orthorhombic. Its density is 6.88 g/cm3. As for the density of states at the Fermi level: 34.03 states/eV per cell.

The structure belongs to space group Immm (No. 71); the cell edges are 5.175, 10.392 and 15.667 Å and the angles 90.00°, 90.00° and 90.00°. The asymmetric unit holds La at (0.000, 0.000, 0.000), La at (0.000, 0.000, 0.333), La at (0.000, 0.500, 0.336), Pr at (0.000, 0.246, 0.500), Pr at (0.000, 0.256, 0.162) and Tl at (0.000, 0.500, 0.000).

=====

# 7
Computed, not measured: an optimized crystal structure of BiSbPb4 at the PBE-GGA level of DFT.

The polymorph energy (0 for the lowest one) comes out at 0.37 eV per formula unit. Its crystal system is monoclinic. Its density is 8.87 g/cm3. For the energy relative to the elements, uncorrected, the calculation gives 0.116 eV/atom. As for the density of states at the Fermi level: 6.37 states/eV per cell.

The structure belongs to space group P2_1/m (No. 11); the cell edges are 6.690, 9.793 and 7.207 Å and the angles 90.00°, 113.09° and 90.00°. The asymmetric unit holds Bi at (0.016, 0.250, 0.476), Sb at (0.254, 0.750, 0.020), Pb at (0.213, 0.250, 0.992), Pb at (0.344, 0.502, 0.745) and Pb at (0.482, 0.750, 0.495).

=====

# 8
Computed, not measured: an optimized crystal structure of InNiAu at the PBE-GGA level of DFT.

The formation energy is 111 meV/atom. Its crystal system is trigonal. Its density is 11.63 g/cm3. As for the density of states at the Fermi level: 1.95 states/eV per cell.

The structure belongs to space group P3m1 (No. 156); the cell edges are 3.1524, 3.1524 and 6.1453 Å and the angles 90.00°, 90.00° and 120.00°. The asymmetric unit holds In at (0.0000, 0.0000, 0.0000), Ni at (0.3333, 0.6667, 0.3102) and Au at (0.6667, 0.3333, 0.6229).

=====

# 9
Computed, not measured: an optimized crystal structure of LiCr3Sb at the PBE-GGA level of DFT.

The polymorph energy (0 for the lowest one) comes out at 0.00 eV per formula unit. Its crystal system is cubic. Its density is 6.15 g/cm3. For the energy relative to the elements, uncorrected, the calculation gives 1.073 eV/atom. As for the density of states at the Fermi level: 1.92 states/eV per cell.

The structure belongs to space group Pm-3m (No. 221); the cell edges are 4.251, 4.251 and 4.251 Å and the angles 90.00°, 90.00° and 90.00°. The asymmetric unit holds Li at (0.000, 0.000, 0.000), Cr at (0.000, 0.000, 0.500) and Sb at (0.500, 0.500, 0.500).

=====

# 10
Computed, not measured: an optimized crystal structure of MnAlOs2 at the PBE-GGA level of DFT.

The formation energy is 575 meV/atom. Its crystal system is tetragonal. Its density is 12.39 g/cm3. As for the density of states at the Fermi level: 16.45 states/eV per cell.

The structure belongs to space group I-42d (No. 122); the cell edges are 7.153, 7.153 and 4.843 Å and the angles 90.00°, 90.00° and 90.00°. The asymmetric unit holds Mn at (0.000, 0.000, 0.000), Al at (0.000, 0.000, 0.500) and Os at (0.186, 0.750, 0.125).

=====

# 11
Computed, not measured: an optimized crystal structure of NaCN2 at the PBE-GGA level of DFT.

Its crystal system is orthorhombic. Its density is 1.79 g/cm3. For the energy relative to the elements, uncorrected, the calculation gives 0.121 eV/atom. As for the density of states at the Fermi level: 2.74 states/eV per cell.

The structure belongs to space group Pmma (No. 51); the cell edges are 5.948, 3.340 and 5.883 Å and the angles 90.00°, 90.00° and 90.00°. The asymmetric unit holds Na at (0.250, 0.000, 0.249), C at (0.250, 0.500, 0.750) and N at (0.043, 0.500, 0.750).

=====

# 12
Computed, not measured: an optimized crystal structure of Pr3Er4Sc2 at the PBE-GGA level of DFT.

The formation energy is 125 meV/atom. The polymorph energy (0 for the lowest one) comes out at 0.00 eV per formula unit. Its crystal system is triclinic. Its density is 6.87 g/cm3. As for the density of states at the Fermi level: 25.25 states/eV per cell.

The structure belongs to space group P-1 (No. 2); the cell edges are 6.710, 8.317 and 11.298 Å and the angles 72.57°, 75.22° and 75.36°. The asymmetric unit holds Pr at (0.114, 0.190, 0.001), Pr at (0.143, 0.548, 0.255), Pr at (0.321, 0.098, 0.368), Er at (0.131, 0.731, 0.492), Er at (0.136, 0.006, 0.719), Er at (0.315, 0.555, 0.765), Er at (0.439, 0.743, 0.950), Sc at (0.360, 0.340, 0.544) and Sc at (0.434, 0.853, 0.198).

=====

# 13
Computed, not measured: an optimized crystal structure of Tm3Hf2Zn2 at the PBE-GGA level of DFT.

The formation energy is 34 meV/atom. Its crystal system is orthorhombic. Its density is 9.97 g/cm3. As for the density of states at the Fermi level: 11.50 states/eV per cell.

The structure belongs to space group Cmmm (No. 65); the cell edges are 4.758, 21.272 and 3.274 Å and the angles 90.00°, 90.00° and 90.00°. The asymmetric unit holds Tm at (0.000, 0.000, 0.000), Tm at (0.000, 0.149, 0.000), Hf at (0.000, 0.283, 0.500) and Zn at (0.000, 0.428, 0.500).

=====

# 14
Computed, not measured: an optimized crystal structure of La2Be2W at the PBE-GGA level of DFT.

The formation energy is 1074 meV/atom. The polymorph energy (0 for the lowest one) comes out at 2.56 eV per formula unit. Its crystal system is tetragonal. Its density is 8.27 g/cm3. As for the density of states at the Fermi level: 7.55 states/eV per cell.

The structure belongs to space group I4/mmm (No. 139); the cell edges are 3.973, 3.973 and 12.204 Å and the angles 90.00°, 90.00° and 90.00°. The asymmetric unit holds La at (0.000, 0.500, 0.250), Be at (0.000, 0.000, 0.078) and W at (0.000, 0.000, 0.500).

=====

# 15
Computed, not measured: an optimized crystal structure of Cs3Mn2I9 at the PBE-GGA level of DFT.

Its crystal system is trigonal. Its density is 4.36 g/cm3. For the energy relative to the elements, uncorrected, the calculation gives -0.863 eV/atom. As for the density of states at the Fermi level: 32.83 states/eV per cell.

The structure belongs to space group R-3c (No. 167, hexagonal axes); the cell edges are 13.9340, 13.9340 and 22.4106 Å and the angles 90.00°, 90.00° and 120.00°. The asymmetric unit holds Cs at (0.0000, 0.3369, 0.2500), Mn at (0.0000, 0.0000, 0.1666), I at (0.0000, 0.1580, 0.7500) and I at (0.0016, 0.1676, 0.1022).

=====

# 16
Computed, not measured: an optimized crystal structure of ZrGeAs2Se at the PBE-GGA level of DFT.

The polymorph energy (0 for the lowest one) comes out at 1.09 eV per formula unit. Its crystal system is tetragonal. Its density is 5.66 g/cm3. For the energy relative to the elements, uncorrected, the calculation gives 0.431 eV/atom. As for the density of states at the Fermi level: 3.90 states/eV per cell.

The structure belongs to space group P4/mmm (No. 123); the cell edges are 4.830, 4.830 and 4.939 Å and the angles 90.00°, 90.00° and 90.00°. The asymmetric unit holds Zr at (0.000, 0.000, 0.000), Ge at (0.500, 0.500, 0.500), As at (0.000, 0.500, 0.500) and Se at (0.500, 0.500, 0.000).

=====

# 17
Computed, not measured: an optimized crystal structure of NpFe4Rh at the PBE-GGA level of DFT.

The formation energy is 29 meV/atom. Its crystal system is cubic. Its density is 11.02 g/cm3. As for the density of states at the Fermi level: 51.89 states/eV per cell.

The structure belongs to space group F-43m (No. 216); the cell edges are 6.977, 6.977 and 6.977 Å and the angles 90.00°, 90.00° and 90.00°. The asymmetric unit holds Np at (0.000, 0.000, 0.000), Fe at (0.124, 0.124, 0.376) and Rh at (0.250, 0.250, 0.750).

=====

# 18
Computed, not measured: an optimized crystal structure of LiNdSnAu at the PBE-GGA level of DFT.

The formation energy is -521 meV/atom. The polymorph energy (0 for the lowest one) comes out at 0.33 eV per formula unit. Its crystal system is monoclinic. Its density is 8.05 g/cm3. As for the density of states at the Fermi level: 4.00 states/eV per cell.

The structure belongs to space group Cm (No. 8); the cell edges are 8.186, 4.783 and 4.921 Å and the angles 90.00°, 91.47° and 90.00°. The asymmetric unit holds Li at (0.000, 0.000, 0.000), Nd at (0.169, 0.500, 0.288), Sn at (0.340, 0.000, 0.772) and Au at (0.009, 0.000, 0.518).

=====

# 19
Computed, not measured: an optimized crystal structure of BeVReIr at the PBE-GGA level of DFT.

The formation energy is -300 meV/atom. Its crystal system is cubic. Its density is 14.18 g/cm3. As for the density of states at the Fermi level: 9.62 states/eV per cell.

The structure belongs to space group F-43m (No. 216); the cell edges are 5.899, 5.899 and 5.899 Å and the angles 90.00°, 90.00° and 90.00°. The asymmetric unit holds Be at (0.000, 0.000, 0.000), V at (0.000, 0.000, 0.500), Re at (0.250, 0.250, 0.250) and Ir at (0.250, 0.250, 0.750).

=====

# 20
Computed, not measured: an optimized crystal structure of Al3C at the PBE-GGA level of DFT.

The formation energy is 1002 meV/atom. The polymorph energy (0 for the lowest one) comes out at 3.91 eV per formula unit. Its crystal system is hexagonal. Its density is 2.78 g/cm3. As for the density of states at the Fermi level: 6.37 states/eV per cell.

The structure belongs to space group P6_3/mmc (No. 194); the cell edges are 5.5108, 5.5108 and 8.4549 Å and the angles 90.00°, 90.00° and 120.00°. The asymmetric unit holds Al at (0.0000, 0.5000, 0.0000), Al at (0.1586, 0.3171, 0.2500), C at (0.0000, 0.0000, 0.0000) and C at (0.3333, 0.6667, 0.7500).